# LaHo14Sc PBE relaxed
# E ... -4.683 eV/atom
# DOS(E_F) ... 1.15 states/eV per atom
data_LaHo14Sc
_symmetry_space_group_name_H-M 'P 4/m m m'
_symmetry_Int_Tables_number 123
_symmetry_space_group_name_Hall '-P 4 2'
_cell_length_a 7.043
_cell_length_b 7.043
_cell_length_c 9.945
_cell_angle_alpha 90.00
_cell_angle_beta 90.00
_cell_angle_gamma 90.00
loop_
_atom_site_label
_atom_site_type_symbol
_atom_site_fract_x
_atom_site_fract_y
_atom_site_fract_z
_atom_site_occupancy
La1 La 0.000 0.000 0.000 1
Ho1 Ho 0.000 0.000 0.500 1
Ho2 Ho 0.000 0.500 0.000 1
Ho3 Ho 0.000 0.500 0.500 1
Ho4 Ho 0.253 0.253 0.250 1
Ho5 Ho 0.500 0.500 0.500 1
Sc1 Sc 0.500 0.500 0.000 1